Below is a relaxed structure of Cs2PaI4Cl2, with properties calculated at the PBE level.

Structure (POSCAR):
```
Cs2PaI4Cl2
1.0
6.9784 -4.3316 0.0000
6.9784 4.3316 0.0000
-1.0279 0.0000 6.9067
Cs Pa I Cl
2 1 4 2
Direct
0.1625 0.1625 0.2905
0.8375 0.8375 0.7095
0.5000 0.5000 0.0000
0.1472 0.6542 0.2069
0.3458 0.8528 0.7931
0.6542 0.1472 0.2069
0.8528 0.3458 0.7931
0.3532 0.3532 0.7217
0.6468 0.6468 0.2783
```

* formation energy from raw total energies: -1.527 eV per atom
* space-group type: No. 12
* V: 46.39 A^3/atom

=====

Below is a relaxed structure of Cs3Pb2I4Cl3, with properties calculated at the PBE level.

Structure (POSCAR):
```
Cs3Pb2I4Cl3
1.0
-2.8760 15.5443 3.2210
2.8760 -15.5443 3.2210
2.8760 15.5443 -3.2210
Cs Pb I Cl
3 2 4 3
Direct
0.0000 0.0000 0.0000
0.0751 0.8968 0.1783
0.7186 0.8968 0.8217
0.2634 0.8577 0.4056
0.4521 0.8577 0.5944
0.1612 0.8585 0.3027
0.5558 0.8585 0.6973
0.7627 0.3520 0.4106
0.9414 0.3520 0.5894
0.2246 0.3206 0.9041
0.3321 0.8321 0.5000
0.4165 0.3206 0.0959
```

* formation energy from raw total energies: -1.315 eV per atom
* space-group type: No. 44
* V: 48.00 A^3/atom

=====

Below is a relaxed structure of CsPbI2Cl, with properties calculated at the PBE level.

Structure (POSCAR):
```
CsPbI2Cl
1.0
6.4282 0.0000 0.0000
0.0000 6.4282 0.0000
0.0000 0.0000 5.6905
Cs Pb I Cl
1 1 2 1
Direct
0.0000 0.0000 0.0000
0.5000 0.5000 0.5000
0.0000 0.5000 0.5000
0.5000 0.0000 0.5000
0.5000 0.5000 0.0000
```

* formation energy from raw total energies: -1.167 eV per atom
* space-group type: No. 123
* V: 47.03 A^3/atom

=====

Below is a relaxed structure of CsPbICl6, with properties calculated at the PBE level.

Structure (POSCAR):
```
CsPbICl6
1.0
7.4527 0.0000 0.0000
0.1822 7.5216 0.0000
3.7138 -0.0100 6.8069
Cs Pb I Cl
1 1 1 6
Direct
0.0000 0.0000 0.0000
0.6476 0.4996 0.7063
0.3203 0.4990 0.3601
0.0474 0.7034 0.3685
0.3642 0.2907 0.9925
0.3822 0.7413 0.6306
0.5843 0.2947 0.3695
0.6444 0.7069 0.9949
0.9888 0.2565 0.6281
```

* formation energy from raw total energies: -0.795 eV per atom
* space-group type: No. 1
* V: 42.40 A^3/atom

=====

Below is a relaxed structure of Cs2PdI4Cl2, with properties calculated at the PBE level.

Structure (POSCAR):
```
Cs2PdI4Cl2
1.0
-3.9208 3.9208 5.9528
3.9208 -3.9208 5.9528
3.9208 3.9208 -5.9528
Cs Pd I Cl
2 1 4 2
Direct
0.2500 0.7500 0.5000
0.7500 0.2500 0.5000
0.0000 0.0000 0.0000
0.2464 0.2464 0.4928
0.2464 0.7536 0.0000
0.7536 0.2464 0.0000
0.7536 0.7536 0.5072
0.1990 0.1990 0.0000
0.8010 0.8010 0.0000
```

* formation energy from raw total energies: -0.907 eV per atom
* space-group type: No. 139
* V: 40.67 A^3/atom

=====

Below is a relaxed structure of CsPdICl2, with properties calculated at the PBE level.

Structure (POSCAR):
```
CsPdICl2
1.0
5.1934 0.0000 0.0000
0.0000 5.1934 0.0000
0.0000 0.0000 5.5265
Cs Pd I Cl
1 1 1 2
Direct
0.0000 0.0000 0.0000
0.5000 0.5000 0.5000
0.5000 0.5000 0.0000
0.0000 0.5000 0.5000
0.5000 0.0000 0.5000
```

* formation energy from raw total energies: -0.913 eV per atom
* space-group type: No. 123
* V: 29.81 A^3/atom

=====

- Which value of V does entry 1 give?
  46.39 A^3/atom

=====

- The highest formation energy from raw total energies belongs to which entry?
  CsPbICl6

=====

- Which formula does entry 2 have?
  Cs3Pb2I4Cl3

=====

- Number 1 is which compound?
  Cs2PaI4Cl2